# Rb2NiP4H8O16

A relaxed Rb2NiP4H8O16 crystal (PBE+U, Alexandria via LeMat-Bulk).

a = 7.065 Å, b = 7.453 Å, c = 7.770 Å
α = 82.19°, β = 71.92°, γ = 87.08°
Fractional coordinates of all 31 atoms:
Rb1 0.102 0.219 0.293
Rb2 0.898 0.781 0.707
Ni1 0.500 0.000 0.500
P1 0.246 0.301 0.754
P2 0.342 0.760 0.243
P3 0.658 0.240 0.757
P4 0.754 0.699 0.246
H1 0.071 0.765 0.085
H2 0.261 0.534 0.468
H3 0.377 0.814 0.849
H4 0.380 0.681 0.705
H5 0.620 0.319 0.295
H6 0.623 0.186 0.151
H7 0.739 0.466 0.532
H8 0.929 0.235 0.915
O1 0.062 0.278 0.931
O2 0.252 0.569 0.335
O3 0.257 0.156 0.632
O4 0.261 0.495 0.659
O5 0.263 0.825 0.085
O6 0.311 0.887 0.387
O7 0.421 0.271 0.851
O8 0.441 0.792 0.721
O9 0.559 0.208 0.279
O10 0.579 0.729 0.149
O11 0.689 0.113 0.613
O12 0.737 0.175 0.915
O13 0.739 0.505 0.341
O14 0.743 0.844 0.368
O15 0.748 0.431 0.665
O16 0.938 0.722 0.069

**Space-group type**: No. 2
**Crystal system**: triclinic
**Density of states at the Fermi level**: 0.00 states/eV per cell
**Calculated total energy**: -186.53 eV per cell